The following is a DFT calculation (PBE) of RbLa2ScGe after structural relaxation.

abc: 5.8381 5.3778 5.8381
angles: 90.00 90.00 90.00
Closest atoms and distances in Å follow each position.
Fractional coordinates of all 5 atoms:
Ge (0.0000, 0.5000, 0.0000)  2 Sc 2.69
Rb (0.5000, 0.5000, 0.5000)  8 La 3.97, 4 Ge 4.13
La (0.5000, 0.0000, 0.0000)  2 Sc 2.92
Sc (0.0000, 0.0000, 0.0000)  2 Ge 2.69, 4 La 2.92
La (0.0000, 0.0000, 0.5000)  2 Sc 2.92

Output
Volume = 183 Å³ per cell
ΔH_f (0 K) = 0.36 eV/atom
ρ = 4.36 Mg/m³
Space-group type = P4/mmm, No. 123

***

The following is a DFT calculation (PBE) of RbLaGeSe4 after structural relaxation.

abc: 6.9798 7.0804 9.5890
angles: 90.00 107.71 90.00
Closest atoms and distances in Å follow each position.
Fractional coordinates of all 14 atoms:
Se (0.9887, 0.4893, 0.2858)  1 Ge 2.38
Se (0.4141, 0.7500, 0.1647)  1 Ge 2.36
Ge (0.2147, 0.7500, 0.3238)  4 Se 2.36-2.38
La (0.2349, 0.2500, 0.5530)  6 Se 3.05-3.12
Se (0.0113, 0.9893, 0.7142)  1 Ge 2.38
Se (0.0113, 0.5107, 0.7142)  1 Ge 2.38
Se (0.9887, 0.0107, 0.2858)  1 Ge 2.38
Se (0.5859, 0.2500, 0.8353)  1 Ge 2.36
Se (0.5863, 0.2500, 0.4259)  1 Ge 2.38
Ge (0.7853, 0.2500, 0.6762)  4 Se 2.36-2.38
La (0.7651, 0.7500, 0.4470)  6 Se 3.05-3.12
Se (0.4137, 0.7500, 0.5741)  1 Ge 2.38
Rb (0.2568, 0.2500, 0.0622)  8 Se 3.55-3.75
Rb (0.7432, 0.7500, 0.9378)  8 Se 3.55-3.75

Output
Volume = 451 Å³ per cell
ρ = 4.51 Mg/m³
Space-group type = P2_1/m, No. 11
Formation energy from raw total energies = -1.21 eV/atom

***

The following is a DFT calculation (PBE) of Rb2LaGeSe4 after structural relaxation.

abc: 8.9505 8.9505 9.0791
angles: 120.48 120.48 90.26
Closest atoms and distances in Å follow each position.
Fractional coordinates of all 16 atoms:
La (0.0000, 0.5000, 0.0000)  6 Se 3.02-3.07
Ge (0.0000, 0.0000, 0.0000)  6 Se 2.84-2.88
Se (0.2394, 0.2605, 0.4477)  2 Ge 2.84, 1 La 3.07
Se (0.7521, 0.2996, 0.5258)  1 Ge 2.88, 2 La 3.02
Rb (0.0000, 0.0000, 0.5000)  6 Se 3.48-3.52
Rb (0.5000, 0.5000, 0.0000)  6 Se 3.48-3.52
Se (0.7606, 0.7395, 0.5523)  2 Ge 2.84, 1 La 3.07
Rb (0.5000, 0.0000, 0.0000)  6 Se 3.33-3.34
Rb (0.5000, 0.0000, 0.5000)  6 Se 3.33-3.34
Se (0.2479, 0.7004, 0.4742)  1 Ge 2.88, 2 La 3.02
Se (0.7605, 0.7394, 0.9477)  2 Ge 2.84, 1 La 3.07
Se (0.2395, 0.2606, 0.0523)  2 Ge 2.84, 1 La 3.07
Se (0.7996, 0.2521, 0.0258)  1 Ge 2.88, 2 La 3.02
Ge (0.5000, 0.5000, 0.5000)  6 Se 2.84-2.88
La (0.0000, 0.5000, 0.5000)  6 Se 3.02-3.07
Se (0.2004, 0.7479, 0.9742)  1 Ge 2.88, 2 La 3.02

Output
Volume = 506 Å³ per cell
ρ = 4.59 Mg/m³
Space-group type = Imma, No. 74
Formation energy from raw total energies = -1.07 eV/atom

***

The following is a DFT calculation (PBE) of RbSrLaGe2 after structural relaxation.

abc: 5.8778 5.9037 5.8778
angles: 90.00 90.00 90.00
Closest atoms and distances in Å follow each position.
Fractional coordinates of all 5 atoms:
Sr (0.0000, 0.0000, 0.0000)  4 Ge 2.94, 2 La 2.95
Ge (0.5000, 0.0000, 0.0000)  2 Sr 2.94
Rb (0.5000, 0.5000, 0.5000)  4 La 4.16, 8 Ge 4.17
La (0.0000, 0.5000, 0.0000)  2 Sr 2.95
Ge (0.0000, 0.0000, 0.5000)  2 Sr 2.94

Output
Volume = 204 Å³ per cell
ΔH_f (0 K) = 0.66 eV/atom
ρ = 3.72 Mg/m³
Space-group type = P4/mmm, No. 123

***

The following is a DFT calculation (PBE) of Rb2LaTcGe after structural relaxation.

abc: 7.6121 5.3489 7.6121
angles: 90.00 90.00 90.00
Closest atoms and distances in Å follow each position.
Fractional coordinates of all 5 atoms:
Tc (0.5000, 0.5000, 0.5000)  8 Rb 4.65
Rb (0.5000, 0.0000, 0.0000)  2 La 3.81
La (0.0000, 0.0000, 0.0000)  2 Ge 2.67
Rb (0.0000, 0.0000, 0.5000)  2 La 3.81
Ge (0.0000, 0.5000, 0.0000)  2 La 2.67

Output
Volume = 310 Å³ per cell
ΔH_f (0 K) = 1.57 eV/atom
ρ = 2.57 Mg/m³
Space-group type = P4/mmm, No. 123

***

The following is a DFT calculation (PBE) of Rb4La3GeTe8 after structural relaxation.

abc: 9.3384 10.1229 9.3391
angles: 117.48 120.00 90.00
Closest atoms and distances in Å follow each position.
Fractional coordinates of all 16 atoms:
Ge (0.0000, 0.5000, 0.0000)  6 Te 3.07
Te (0.7366, 0.7097, 0.4732)  3 La 3.24
Rb (0.5000, 0.0000, 0.5000)  6 Te 3.67-3.69
Te (0.7759, 0.3026, 0.5517)  1 Ge 3.07, 2 La 3.24
La (0.0000, 0.5000, 0.5000)  6 Te 3.24
Te (0.2240, 0.6973, 0.9734)  1 Ge 3.07, 2 La 3.24
Rb (0.0000, 0.0000, 0.0000)  6 Te 3.67-3.69
Rb (0.0000, 0.0000, 0.5000)  6 Te 3.67-3.69
Te (0.2634, 0.2903, 0.5268)  3 La 3.24
La (0.5000, 0.5000, 0.0000)  6 Te 3.24
Rb (0.5000, 0.0000, 0.0000)  6 Te 3.84
Te (0.7760, 0.3027, 0.0266)  1 Ge 3.07, 2 La 3.24
Te (0.2507, 0.3027, 0.0266)  1 Ge 3.07, 2 La 3.24
Te (0.2241, 0.6974, 0.4483)  1 Ge 3.07, 2 La 3.24
La (0.5000, 0.5000, 0.5000)  6 Te 3.24
Te (0.7493, 0.6973, 0.9734)  1 Ge 3.07, 2 La 3.24

Output
Volume = 647 Å³ per cell
ρ = 4.75 Mg/m³
Space-group type = R-3m, No. 166
Formation energy from raw total energies = -1.18 eV/atom

***

The following is a DFT calculation (PBE) of RbLaGe2W after structural relaxation.

abc: 5.7885 5.8931 5.7885
angles: 90.00 90.00 90.00
Closest atoms and distances in Å follow each position.
Fractional coordinates of all 5 atoms:
Rb (0.0000, 0.0000, 0.0000)  4 Ge 2.89, 2 La 2.95
Ge (0.0000, 0.0000, 0.5000)  2 Rb 2.89
W (0.5000, 0.5000, 0.5000)  4 La 4.09, 8 Ge 4.13
La (0.0000, 0.5000, 0.0000)  2 Rb 2.95
Ge (0.5000, 0.0000, 0.0000)  2 Rb 2.89

Output
Volume = 197 Å³ per cell
ΔH_f (0 K) = 2.42 eV/atom
ρ = 4.65 Mg/m³
Space-group type = P4/mmm, No. 123

***

The following is a DFT calculation (PBE) of RbLaZr2Ge after structural relaxation.

abc: 5.4189 5.9398 5.4189
angles: 90.00 90.00 90.00
Closest atoms and distances in Å follow each position.
Fractional coordinates of all 5 atoms:
Zr (0.5000, 0.0000, 0.0000)  2 La 2.71
Rb (0.5000, 0.5000, 0.5000)  4 Ge 3.83, 8 Zr 4.02
La (0.0000, 0.0000, 0.0000)  4 Zr 2.71, 2 Ge 2.97
Ge (0.0000, 0.5000, 0.0000)  2 La 2.97
Zr (0.0000, 0.0000, 0.5000)  2 La 2.71

Output
Volume = 174 Å³ per cell
ΔH_f (0 K) = 1.13 eV/atom
ρ = 4.56 Mg/m³
Space-group type = P4/mmm, No. 123

***

The following is a DFT calculation (PBE) of Rb2LaZrGe after structural relaxation.

abc: 6.5133 5.7499 6.5133
angles: 90.00 90.00 90.00
Closest atoms and distances in Å follow each position.
Fractional coordinates of all 5 atoms:
Rb (0.5000, 0.0000, 0.0000)  2 Ge 3.26
Rb (0.0000, 0.0000, 0.5000)  2 Ge 3.26
Zr (0.5000, 0.5000, 0.5000)  8 Rb 4.34, 4 La 4.61
Ge (0.0000, 0.0000, 0.0000)  2 La 2.87
La (0.0000, 0.5000, 0.0000)  2 Ge 2.87

Output
Volume = 244 Å³ per cell
ΔH_f (0 K) = 0.98 eV/atom
ρ = 3.22 Mg/m³
Space-group type = P4/mmm, No. 123

***

The following is a DFT calculation (PBE) of La2ReGe2 after structural relaxation.

abc: 7.0124 7.0124 4.6603
angles: 90.00 90.00 90.00
Closest atoms and distances in Å follow each position.
Fractional coordinates of all 10 atoms:
Re (0.5000, 0.5000, 0.0000)  4 Ge 2.74
Ge (0.6325, 0.1325, 0.0000)  1 Ge 2.63, 2 Re 2.74
La (0.1803, 0.6803, 0.5000)  6 Ge 2.98-3.22
Ge (0.8675, 0.6325, 0.0000)  1 Ge 2.63, 2 Re 2.74
Ge (0.1325, 0.3675, 0.0000)  1 Ge 2.63, 2 Re 2.74
Ge (0.3675, 0.8675, 0.0000)  1 Ge 2.63, 2 Re 2.74
La (0.6803, 0.8197, 0.5000)  6 Ge 2.98-3.22
La (0.8197, 0.3197, 0.5000)  6 Ge 2.98-3.22
Re (0.0000, 0.0000, 0.0000)  4 Ge 2.74
La (0.3197, 0.1803, 0.5000)  6 Ge 2.98-3.22

Output
Energy relative to the lowest polymorph listed for this composition = 0.000 eV/atom
Volume = 229 Å³ per cell
ΔH_f (0 K) = -0.36 eV/atom
ρ = 8.83 Mg/m³
Space-group type = P4/mbm, No. 127

***

The following is a DFT calculation (PBE) of LaReGe3 after structural relaxation.

abc: 5.3386 5.3386 5.3386
angles: 90.00 90.00 90.00
Closest atoms and distances in Å follow each position.
Fractional coordinates of all 5 atoms:
Ge (0.5000, 0.0000, 0.0000)  2 La 2.67
Ge (0.0000, 0.0000, 0.5000)  2 La 2.67
Ge (0.0000, 0.5000, 0.0000)  2 La 2.67
Re (0.5000, 0.5000, 0.5000)  12 Ge 3.77
La (0.0000, 0.0000, 0.0000)  6 Ge 2.67

Output
Volume = 152 Å³ per cell
ΔH_f (0 K) = 2.26 eV/atom
ρ = 5.93 Mg/m³
Space-group type = Pm-3m, No. 221

***

The following is a DFT calculation (PBE) of La3ReGe after structural relaxation.

abc: 5.4717 5.4717 5.4717
angles: 90.00 90.00 90.00
Closest atoms and distances in Å follow each position.
Fractional coordinates of all 5 atoms:
La (0.5000, 0.0000, 0.0000)  2 Re 2.74
Re (0.0000, 0.0000, 0.0000)  6 La 2.74
La (0.0000, 0.0000, 0.5000)  2 Re 2.74
Ge (0.5000, 0.5000, 0.5000)  12 La 3.87
La (0.0000, 0.5000, 0.0000)  2 Re 2.74

Output
Energy relative to the lowest polymorph listed for this composition = 0.000 eV/atom
Volume = 164 Å³ per cell
ΔH_f (0 K) = 0.05 eV/atom
ρ = 6.85 Mg/m³
Space-group type = Pm-3m, No. 221

***

The following is a DFT calculation (PBE) of LaReGe after structural relaxation.

abc: 3.7509 4.4244 8.1291
angles: 74.21 90.00 90.00
Closest atoms and distances in Å follow each position.
Fractional coordinates of all 6 atoms:
Re (0.7500, 0.7235, 0.5530)  1 Ge 2.62, 1 La 2.66
Ge (0.2500, 0.4441, 0.1117)  2 Ge 2.56, 1 Re 2.62
Ge (0.7500, 0.5559, 0.8883)  2 Ge 2.56, 1 Re 2.62
Re (0.2500, 0.2765, 0.4470)  1 Ge 2.62, 1 La 2.66
La (0.7500, 0.8935, 0.2130)  1 Re 2.66
La (0.2500, 0.1065, 0.7870)  1 Re 2.66

Output
Volume = 130 Å³ per cell
ΔH_f (0 K) = 0.21 eV/atom
ρ = 10.18 Mg/m³
Space-group type = Cmcm, No. 63